No. 1
Below is a geometry-optimized ZnPtSeBr2 structure, with properties calculated at the PBEsol level.

```
data_ZnPtSeBr2
_cell_length_a 5.0919
_cell_length_b 5.0919
_cell_length_c 4.8489
_cell_angle_alpha 90.00
_cell_angle_beta 90.00
_cell_angle_gamma 90.00
_symmetry_space_group_name_H-M 'P 1'
_symmetry_Int_Tables_number 1
_symmetry_space_group_name_Hall 'P 1'
loop_
_atom_site_label
_atom_site_fract_x
_atom_site_fract_y
_atom_site_fract_z
Zn1 0.0000 0.0000 0.0000
Pt1 0.5000 0.5000 0.5000
Se1 0.5000 0.5000 0.0000
Br1 0.0000 0.5000 0.5000
Br2 0.5000 0.0000 0.5000
```

Properties
space group = P4/mmm (123)
E_form (uncorrected) = 1.34 eV/f.u.

=====

No. 2
Below is a geometry-optimized BaIn2As structure, with properties calculated at the PBEsol level.

```
data_BaIn2As
_cell_length_a 5.2369
_cell_length_b 5.2369
_cell_length_c 6.1598
_cell_angle_alpha 107.11
_cell_angle_beta 107.11
_cell_angle_gamma 47.83
_symmetry_space_group_name_H-M 'P 1'
_symmetry_Int_Tables_number 1
_symmetry_space_group_name_Hall 'P 1'
loop_
_atom_site_label
_atom_site_fract_x
_atom_site_fract_y
_atom_site_fract_z
Ba1 0.0000 0.0000 0.0000
In1 0.2241 0.2241 0.6505
In2 0.4813 0.4813 0.4834
As1 0.7462 0.7462 0.3336
```

Properties
space group = Cm (8)
calculated formation energy = -439 meV/atom

=====

No. 3
Below is a geometry-optimized CoSb2 structure, with properties calculated at the PBEsol level.

```
data_CoSb2
_cell_length_a 5.5244
_cell_length_b 6.3296
_cell_length_c 3.3586
_cell_angle_alpha 90.00
_cell_angle_beta 90.00
_cell_angle_gamma 90.00
_symmetry_space_group_name_H-M 'P 1'
_symmetry_Int_Tables_number 1
_symmetry_space_group_name_Hall 'P 1'
loop_
_atom_site_label
_atom_site_fract_x
_atom_site_fract_y
_atom_site_fract_z
Co1 0.0000 0.0000 0.0000
Co2 0.5000 0.5000 0.5000
Sb1 0.2022 0.3557 0.0000
Sb2 0.2978 0.8557 0.5000
Sb3 0.7022 0.1443 0.5000
Sb4 0.7978 0.6443 0.0000
```

Properties
space group = Pnnm (58)
E_form (uncorrected) = -0.67 eV/f.u.

=====

Theoretical density values (in g/cm3) by entry order: 6.59, 6.19, 8.55.
DOS(E_F) values (in states/eV/cell) by entry order: 4.4, 1.7, 2.1.